Compound: Pr4Er3ThSe8
Source: Alexandria
Functional: PBE
Structure: optimized geometry

Cell: 8.420 8.420 8.420 Å, 58.98 58.98 58.98°
Element x y z (fractional)
Pr (0.000, 0.000, 0.000)
Pr (0.000, 0.500, 0.500)
Pr (0.500, 0.000, 0.500)
Pr (0.500, 0.500, 0.000)
Er (0.000, 0.000, 0.500)
Er (0.000, 0.500, 0.000)
Er (0.500, 0.000, 0.000)
Th (0.500, 0.500, 0.500)
Se (0.237, 0.749, 0.749)
Se (0.243, 0.243, 0.243)
Se (0.251, 0.251, 0.763)
Se (0.251, 0.763, 0.251)
Se (0.749, 0.237, 0.749)
Se (0.749, 0.749, 0.237)
Se (0.757, 0.757, 0.757)
Se (0.763, 0.251, 0.251)

Properties
Fermi-level density of states = 0.558 states/eV/atom
ΔE_f (raw) = -1.7462 eV/atom